1.
Compound: Nb2V2Re3
Source: Alexandria
Functional: PBE
Structure: optimized geometry

Results
Formation enthalpy at 0 K: 0.15 eV/atom
Electronic total energy: -10.663 eV per atom
Calculated volume: 109.8 Å³ per cell
Crystal system: orthorhombic
Space-group type: No. 65

abc: 9.6853 9.6853 2.6025
angles: 90.00 90.00 153.27
Atoms (fractional coordinates):
Nb  0.0732  0.9268  0.0000
Nb  0.9268  0.0732  0.0000
V  0.2136  0.7864  0.0000
V  0.7864  0.2136  0.0000
Re  0.3475  0.6525  0.5000
Re  0.5000  0.5000  0.5000
Re  0.6525  0.3475  0.5000



2.
Compound: LaTb3Tm5
Source: Alexandria
Functional: PBE
Structure: optimized geometry

Results
Formation enthalpy at 0 K: 0.33 eV/atom
Electronic total energy: -4.243 eV per atom
Energy above the most stable polymorph in this dataset: 0.0000 eV per atom
Calculated volume: 587.0 Å³ per cell
Crystal system: monoclinic
Space-group type: No. 15

abc: 9.9999 9.9999 11.1652
angles: 111.92 111.92 34.84
Atoms (fractional coordinates):
La  0.1376  0.8624  0.7500
La  0.8624  0.1376  0.2500
Tb  0.0000  0.0000  0.0000
Tb  0.0000  0.0000  0.5000
Tb  0.0496  0.5938  0.6374
Tb  0.4062  0.9504  0.8626
Tb  0.5938  0.0496  0.1374
Tb  0.9504  0.4062  0.3626
Tm  0.0880  0.5709  0.9694
Tm  0.0942  0.5792  0.3047
Tm  0.3725  0.6275  0.2500
Tm  0.4208  0.9058  0.1953
Tm  0.4291  0.9120  0.5306
Tm  0.5709  0.0880  0.4694
Tm  0.5792  0.0942  0.8047
Tm  0.6275  0.3725  0.7500
Tm  0.9058  0.4208  0.6953
Tm  0.9120  0.4291  0.0306



3.
Compound: Ba2Li3PaO6
Source: Alexandria
Functional: PBE
Structure: optimized geometry

Results
Formation energy without anion corrections: -2.584 eV/atom
Electronic total energy: -6.654 eV per atom
Calculated volume: 175.9 Å³ per cell
Crystal system: tetragonal
Space-group type: No. 123

abc: 3.8356 3.8356 11.9598
angles: 90.00 90.00 90.00
Atoms (fractional coordinates):
Ba  0.0000  0.0000  0.2027
Ba  0.0000  0.0000  0.7973
Li  0.5000  0.5000  0.0000
Li  0.5000  0.5000  0.3487
Li  0.5000  0.5000  0.6513
Pa  0.0000  0.0000  0.5000
O  0.0000  0.5000  0.3901
O  0.0000  0.5000  0.6099
O  0.5000  0.0000  0.3901
O  0.5000  0.0000  0.6099
O  0.5000  0.5000  0.1505
O  0.5000  0.5000  0.8495